(1)
A plane-wave DFT calculation with PBE-GGA was carried out for a relaxed AlRe2 crystal. Values from VASP.

The structure in Quantum ESPRESSO input format:
```
&SYSTEM
  ibrav = 0, nat = 9, ntyp = 2
/
ATOMIC_SPECIES
Al 26.98 Al.upf
Re 186.21 Re.upf
CELL_PARAMETERS angstrom
-7.283 -0.277 0.320
3.783 -5.863 -2.131
0.152 -0.883 2.700
ATOMIC_POSITIONS crystal
Al 0.000 0.000 0.500
Re 0.304 0.000 0.000
Re 0.696 0.696 0.000
Re 0.000 0.304 0.000
Al 0.667 0.333 0.000
Re 0.366 0.366 0.500
Re 0.634 0.000 0.500
Re 0.000 0.634 0.500
Al 0.333 0.667 0.000
```

Values from the calculation:
The space group is P-62m (189). The value obtained for the formation energy is -0.034 eV per atom.


(2)
A plane-wave DFT calculation with PBE-GGA was carried out for a relaxed Na2TiMnSe4 crystal. Values from VASP.

The structure in Quantum ESPRESSO input format:
```
&SYSTEM
  ibrav = 0, nat = 8, ntyp = 4
/
ATOMIC_SPECIES
Mn 54.94 Mn.upf
Se 78.96 Se.upf
Ti 47.87 Ti.upf
Na 22.99 Na.upf
CELL_PARAMETERS angstrom
3.772 0.000 0.000
0.000 6.741 0.107
0.000 -2.358 6.864
ATOMIC_POSITIONS crystal
Mn 0.000 0.000 0.000
Se 0.000 0.727 0.212
Ti 0.500 0.500 0.000
Se 0.000 0.273 0.788
Na 0.000 0.500 0.500
Se 0.500 0.763 0.796
Na 0.500 0.000 0.500
Se 0.500 0.237 0.204
```

Values from the calculation:
The formation energy from raw total energies is -0.964 eV/atom. The space group is P2/m (10).


(3)
A plane-wave DFT calculation with PBE-GGA was carried out for a relaxed Ta2P crystal. Values from VASP.

The structure in Quantum ESPRESSO input format:
```
&SYSTEM
  ibrav = 0, nat = 36, ntyp = 2
/
ATOMIC_SPECIES
Ta 180.95 Ta.upf
P 30.97 P.upf
CELL_PARAMETERS angstrom
3.418 0.000 0.000
0.000 11.621 0.000
0.000 0.000 14.523
ATOMIC_POSITIONS crystal
Ta 0.500 0.696 0.795
Ta 0.000 0.470 0.109
Ta 0.000 0.152 0.477
Ta 0.500 0.378 0.422
P 0.500 0.815 0.652
Ta 0.500 0.622 0.578
Ta 0.000 0.196 0.705
Ta 0.000 0.878 0.078
Ta 0.500 0.030 0.609
Ta 0.500 0.348 0.977
Ta 0.500 0.652 0.023
P 0.500 0.255 0.584
P 0.000 0.315 0.848
P 0.500 0.923 0.205
P 0.500 0.077 0.795
Ta 0.000 0.848 0.523
P 0.500 0.745 0.416
P 0.500 0.185 0.348
P 0.000 0.685 0.152
Ta 0.000 0.804 0.295
Ta 0.500 0.579 0.255
Ta 0.500 0.970 0.391
Ta 0.500 0.913 0.920
Ta 0.000 0.921 0.755
P 0.000 0.245 0.084
Ta 0.000 0.530 0.891
Ta 0.000 0.122 0.922
Ta 0.000 0.587 0.420
P 0.000 0.423 0.295
P 0.000 0.577 0.705
Ta 0.500 0.087 0.080
P 0.000 0.755 0.916
Ta 0.500 0.421 0.745
Ta 0.000 0.413 0.580
Ta 0.000 0.079 0.245
Ta 0.500 0.304 0.205
```

Values from the calculation:
The space group is Pnnm (58). The value obtained for the formation energy is -0.739 eV per atom.


(4)
A plane-wave DFT calculation with PBE-GGA was carried out for a relaxed BeHg2Cl crystal. Values from VASP.

The structure in Quantum ESPRESSO input format:
```
&SYSTEM
  ibrav = 0, nat = 4, ntyp = 3
/
ATOMIC_SPECIES
Be 9.01 Be.upf
Hg 200.59 Hg.upf
Cl 35.45 Cl.upf
CELL_PARAMETERS angstrom
-3.516 -1.236 3.432
-1.242 -4.860 0.717
1.352 -2.356 4.277
ATOMIC_POSITIONS crystal
Be 0.500 0.500 0.500
Hg 0.000 0.000 0.000
Cl 0.750 0.750 0.750
Hg 0.250 0.250 0.250
```

Values from the calculation:
The formation energy from raw total energies is 0.502 eV/atom. The space group is F-43m (216). The energy above the lowest structure with this stoichiometry comes out at 703 meV per atom.


(5)
A plane-wave DFT calculation with PBE-GGA was carried out for a relaxed LiTmH4 crystal. Values from VASP.

The structure in Quantum ESPRESSO input format:
```
&SYSTEM
  ibrav = 0, nat = 6, ntyp = 3
/
ATOMIC_SPECIES
Tm 168.93 Tm.upf
H 1.01 H.upf
Li 6.94 Li.upf
CELL_PARAMETERS angstrom
3.547 0.000 -0.001
0.000 3.546 -0.001
0.003 0.005 4.883
ATOMIC_POSITIONS crystal
Tm 0.501 0.497 0.998
H 0.502 0.998 0.747
H 0.001 0.498 0.747
H 0.001 0.497 0.250
Li 0.001 0.997 0.498
H 0.501 0.997 0.249
```

Values from the calculation:
For the total energy, the calculation gives -3.6994 eV/atom. The space group is P4/mmm (123).


(6)
A plane-wave DFT calculation with PBE-GGA was carried out for a relaxed CdSiSbTe2 crystal. Values from VASP.

The structure in Quantum ESPRESSO input format:
```
&SYSTEM
  ibrav = 0, nat = 5, ntyp = 4
/
ATOMIC_SPECIES
Te 127.60 Te.upf
Si 28.09 Si.upf
Cd 112.41 Cd.upf
Sb 121.76 Sb.upf
CELL_PARAMETERS angstrom
-4.360 1.513 -2.567
-0.127 -4.639 -2.519
-3.007 -2.038 3.906
ATOMIC_POSITIONS crystal
Te 0.000 0.500 0.000
Si 0.000 0.000 0.000
Te 0.500 0.000 0.000
Cd 0.500 0.500 0.500
Sb 0.000 0.000 0.500
```

Values from the calculation:
The formation energy from raw total energies is 0.443 eV/atom. The space group is P4/mmm (123). The energy above the lowest structure with this stoichiometry comes out at 0 meV per atom.


Number 1: N(E_F) 6.1 states/eV per cell, magnetic moment 0.00 μB per formula unit. Number 2: N(E_F) 2.0 states/eV per cell, magnetic moment 5.01 μB per formula unit. Number 3: N(E_F) 15.9 states/eV per cell, magnetic moment 0.00 μB per formula unit. Number 4: N(E_F) 2.7 states/eV per cell, magnetic moment 0.53 μB per formula unit. Number 5: N(E_F) 0.4 states/eV per cell, magnetic moment 0.00 μB per formula unit. Number 6: N(E_F) 4.2 states/eV per cell, magnetic moment 0.00 μB per formula unit.